Record 1
# PBE-GGA ZrHSe2N, relaxed
data_ZrHSe2N
_cell_length_a 3.657
_cell_length_b 3.657
_cell_length_c 5.355
_cell_angle_alpha 90.00
_cell_angle_beta 90.00
_cell_angle_gamma 90.00
_space_group_name_H-M_alt 'P 4/m m m'
_space_group_IT_number 123
_space_group_name_Hall '-P 4 2'
loop_
_atom_site_label
_atom_site_fract_x
_atom_site_fract_y
_atom_site_fract_z
Zr1 0.000 0.000 0.000
H1 0.500 0.500 0.500
Se1 0.000 0.500 0.500
N1 0.500 0.500 0.000
# density of states at the Fermi level	1.78	states/eV/cell
# ΔE to the lowest computed polymorph	0.0	meV per atom

---

Record 2
# PBE-GGA SiHN3, relaxed
data_SiHN3
_cell_length_a 3.542
_cell_length_b 3.542
_cell_length_c 3.542
_cell_angle_alpha 90.00
_cell_angle_beta 90.00
_cell_angle_gamma 90.00
_space_group_name_H-M_alt 'P m -3 m'
_space_group_IT_number 221
_space_group_name_Hall '-P 4 2 3'
loop_
_atom_site_label
_atom_site_fract_x
_atom_site_fract_y
_atom_site_fract_z
Si1 0.000 0.000 0.000
H1 0.500 0.500 0.500
N1 0.000 0.000 0.500
# density of states at the Fermi level	3.53	states/eV/cell
# energy	-5.18	eV per atom

---

Record 3
# PBE-GGA SiHN2, relaxed
data_SiHN2
_cell_length_a 4.762
_cell_length_b 4.762
_cell_length_c 4.762
_cell_angle_alpha 90.00
_cell_angle_beta 90.00
_cell_angle_gamma 90.00
_space_group_name_H-M_alt 'F m -3 m'
_space_group_IT_number 225
_space_group_name_Hall '-F 4 2 3'
loop_
_atom_site_label
_atom_site_fract_x
_atom_site_fract_y
_atom_site_fract_z
Si1 0.000 0.000 0.000
H1 0.000 0.000 0.500
N1 0.250 0.250 0.250
# density of states at the Fermi level	8.88	states/eV/cell
# ΔE to the lowest computed polymorph	1529.8	meV per atom

---

Record 4
# PBE-GGA SiH3N, relaxed
data_SiH3N
_cell_length_a 3.420
_cell_length_b 3.420
_cell_length_c 3.420
_cell_angle_alpha 90.00
_cell_angle_beta 90.00
_cell_angle_gamma 90.00
_space_group_name_H-M_alt 'P m -3 m'
_space_group_IT_number 221
_space_group_name_Hall '-P 4 2 3'
loop_
_atom_site_label
_atom_site_fract_x
_atom_site_fract_y
_atom_site_fract_z
Si1 0.000 0.000 0.000
H1 0.000 0.000 0.500
N1 0.500 0.500 0.500
# density of states at the Fermi level	1.19	states/eV/cell
# ΔE to the lowest computed polymorph	0.0	meV per atom

---

Record 5
# PBE-GGA Si2HN, relaxed
data_Si2HN
_cell_length_a 5.383
_cell_length_b 5.383
_cell_length_c 5.383
_cell_angle_alpha 90.00
_cell_angle_beta 90.00
_cell_angle_gamma 90.00
_space_group_name_H-M_alt 'F m -3 m'
_space_group_IT_number 225
_space_group_name_Hall '-F 4 2 3'
loop_
_atom_site_label
_atom_site_fract_x
_atom_site_fract_y
_atom_site_fract_z
Si1 0.250 0.250 0.250
H1 0.000 0.000 0.000
N1 0.000 0.000 0.500
# density of states at the Fermi level	6.03	states/eV/cell
# ΔE to the lowest computed polymorph	761.4	meV per atom

---

Record 6
# PBE-GGA SiH2N, relaxed
data_SiH2N
_cell_length_a 4.316
_cell_length_b 4.316
_cell_length_c 6.087
_cell_angle_alpha 90.00
_cell_angle_beta 90.00
_cell_angle_gamma 90.00
_space_group_name_H-M_alt 'I 41/a m d'
_space_group_IT_number 141
loop_
_space_group_symop_operation_xyz
'x,y,z'
'-x,-y,-z'
'-y+1/4,x+3/4,z+1/4'
'y+1/4,-x+3/4,-z+1/4'
'-x+1/2,-y,z+1/2'
'x+1/2,y,-z+1/2'
'y+1/4,-x+1/4,z+3/4'
'-y+1/4,x+1/4,-z+3/4'
'x,-y,-z'
'-x,y,z'
'-y+1/4,-x+1/4,-z+3/4'
'y+1/4,x+1/4,z+3/4'
'-x+1/2,y,-z+1/2'
'x+1/2,-y,z+1/2'
'y+1/4,x+3/4,-z+1/4'
'-y+1/4,-x+3/4,z+1/4'
'x+1/2,y+1/2,z+1/2'
'-x+1/2,-y+1/2,-z+1/2'
'-y+3/4,x+1/4,z+3/4'
'y+3/4,-x+1/4,-z+3/4'
'-x,-y+1/2,z'
'x,y+1/2,-z'
'y+3/4,-x+3/4,z+1/4'
'-y+3/4,x+3/4,-z+1/4'
'x+1/2,-y+1/2,-z+1/2'
'-x+1/2,y+1/2,z+1/2'
'-y+3/4,-x+3/4,-z+1/4'
'y+3/4,x+3/4,z+1/4'
'-x,y+1/2,-z'
'x,-y+1/2,z'
'y+3/4,x+1/4,-z+3/4'
'-y+3/4,-x+1/4,z+3/4'
loop_
_atom_site_label
_atom_site_fract_x
_atom_site_fract_y
_atom_site_fract_z
Si1 0.000 0.250 0.375
H1 0.000 0.000 0.000
N1 0.000 0.250 0.875
# density of states at the Fermi level	10.33	states/eV/cell
# ΔE to the lowest computed polymorph	0.0	meV per atom

---

Record 7
# PBE-GGA SiHN, relaxed
data_SiHN
_cell_length_a 4.483
_cell_length_b 3.057
_cell_length_c 6.738
_cell_angle_alpha 90.00
_cell_angle_beta 100.81
_cell_angle_gamma 90.00
_space_group_name_H-M_alt 'P 1 21/m 1'
_space_group_IT_number 11
_space_group_name_Hall '-P 2yb'
loop_
_atom_site_label
_atom_site_fract_x
_atom_site_fract_y
_atom_site_fract_z
Si1 0.007 0.250 0.147
H1 0.168 0.750 0.686
N1 0.181 0.750 0.119
# density of states at the Fermi level	0.00	states/eV/cell
# energy	-6.06	eV per atom

---

Record 8
# PBE-GGA Si2HN2, relaxed
data_Si2HN2
_cell_length_a 5.871
_cell_length_b 5.871
_cell_length_c 8.126
_cell_angle_alpha 90.00
_cell_angle_beta 90.00
_cell_angle_gamma 90.00
_space_group_name_H-M_alt 'I 41 m d'
_space_group_IT_number 109
_space_group_name_Hall 'I 4bw -2'
loop_
_atom_site_label
_atom_site_fract_x
_atom_site_fract_y
_atom_site_fract_z
Si1 0.000 0.290 0.000
H1 0.000 0.000 0.086
N1 0.000 0.216 0.794
# density of states at the Fermi level	7.16	states/eV/cell
# energy	-6.28	eV per atom

---

Record 9
# PBE-GGA Si3HN, relaxed
data_Si3HN
_cell_length_a 4.069
_cell_length_b 4.069
_cell_length_c 4.069
_cell_angle_alpha 90.00
_cell_angle_beta 90.00
_cell_angle_gamma 90.00
_space_group_name_H-M_alt 'P m -3 m'
_space_group_IT_number 221
_space_group_name_Hall '-P 4 2 3'
loop_
_atom_site_label
_atom_site_fract_x
_atom_site_fract_y
_atom_site_fract_z
Si1 0.000 0.000 0.500
H1 0.500 0.500 0.500
N1 0.000 0.000 0.000
# density of states at the Fermi level	3.28	states/eV/cell
# ΔE to the lowest computed polymorph	0.0	meV per atom

---

Record 10
# PBE-GGA SiHN2, relaxed
data_SiHN2
_cell_length_a 3.959
_cell_length_b 3.959
_cell_length_c 8.414
_cell_angle_alpha 90.00
_cell_angle_beta 90.00
_cell_angle_gamma 90.00
_space_group_name_H-M_alt 'I -4 2 d'
_space_group_IT_number 122
_space_group_name_Hall 'I -4 2bw'
loop_
_atom_site_label
_atom_site_fract_x
_atom_site_fract_y
_atom_site_fract_z
Si1 0.000 0.000 0.000
H1 0.000 0.000 0.500
N1 0.246 0.250 0.125
# density of states at the Fermi level	4.53	states/eV/cell
# ΔE to the lowest computed polymorph	438.7	meV per atom

---

Record 11
# PBE-GGA Si3H9N, relaxed
data_Si3H9N
_cell_length_a 7.081
_cell_length_b 7.134
_cell_length_c 8.738
_cell_angle_alpha 95.57
_cell_angle_beta 98.91
_cell_angle_gamma 119.05
_space_group_name_H-M_alt 'P -1'
_space_group_IT_number 2
_space_group_name_Hall '-P 1'
loop_
_atom_site_label
_atom_site_fract_x
_atom_site_fract_y
_atom_site_fract_z
Si1 0.086 0.287 0.285
Si2 0.214 0.938 0.268
Si3 0.271 0.192 0.795
H1 0.123 0.705 0.738
H2 0.195 0.800 0.389
H3 0.196 0.812 0.114
H4 0.215 0.402 0.170
H5 0.224 0.404 0.448
H6 0.282 0.408 0.807
H7 0.385 0.168 0.671
H8 0.390 0.184 0.949
H9 0.434 0.145 0.315
N1 0.010 0.011 0.253
# density of states at the Fermi level	0.00	states/eV/cell
# energy	-4.36	eV per atom

---

Record 12
# PBE-GGA SiH2N, relaxed
data_SiH2N
_cell_length_a 4.683
_cell_length_b 4.683
_cell_length_c 4.683
_cell_angle_alpha 90.00
_cell_angle_beta 90.00
_cell_angle_gamma 90.00
_space_group_name_H-M_alt 'F m -3 m'
_space_group_IT_number 225
_space_group_name_Hall '-F 4 2 3'
loop_
_atom_site_label
_atom_site_fract_x
_atom_site_fract_y
_atom_site_fract_z
Si1 0.000 0.000 0.000
H1 0.250 0.250 0.250
N1 0.000 0.000 0.500
# density of states at the Fermi level	5.81	states/eV/cell
# ΔE to the lowest computed polymorph	668.6	meV per atom

---

Record 13
# PBE-GGA SiHN2, relaxed
data_SiHN2
_cell_length_a 2.8787
_cell_length_b 2.8787
_cell_length_c 15.5976
_cell_angle_alpha 90.00
_cell_angle_beta 90.00
_cell_angle_gamma 120.00
_space_group_name_H-M_alt 'R -3 m'
_space_group_IT_number 166
_space_group_name_Hall '-R 3 2"'
loop_
_atom_site_label
_atom_site_fract_x
_atom_site_fract_y
_atom_site_fract_z
Si1 0.0000 0.0000 0.0000
H1 0.0000 0.0000 0.5000
N1 0.0000 0.0000 0.1072
# density of states at the Fermi level	5.37	states/eV/cell
# ΔE to the lowest computed polymorph	1920.5	meV per atom